Si2Ag (PBE, relaxed); DOS(E_F) = 3.24 states/eV per cell; energy above the lowest structure with this stoichiometry = 83 meV/atom; total magnetic moment = 0.00 μB per cell; ΔE_f (raw) = 0.398 eV/atom
1.0
5.0829 0.0000 0.0000
0.0000 4.5087 0.0000
0.0000 0.0000 9.0032
Si Ag
8 4
Direct
0.0002 0.2500 0.2182
0.9998 0.7500 0.7818
0.0006 0.2500 0.9326
0.4994 0.7500 0.4326
0.5002 0.2500 0.2818
0.4998 0.7500 0.7182
0.5006 0.2500 0.5674
0.9994 0.7500 0.0674
0.0004 0.2500 0.5992
0.9996 0.7500 0.4008
0.5004 0.2500 0.9008
0.4996 0.7500 0.0992

=====

AlCdInBi (PBE, relaxed); DOS(E_F) = 1.61 states/eV per cell; total magnetic moment = 0.00 μB per cell; formation energy = 0.15 eV/atom
1.0
0.0000 3.7252 3.7252
3.7252 0.0000 3.7252
3.7252 3.7252 0.0000
Al Cd In Bi
1 1 1 1
Direct
0.0000 0.0000 0.0000
0.5000 0.5000 0.5000
0.2500 0.2500 0.2500
0.7500 0.7500 0.7500

=====

Ba2CaHg6Pb (PBE, relaxed); DOS(E_F) = 9.29 states/eV per cell; total magnetic moment = 0.00 μB per cell; formation energy = -0.17 eV/atom
1.0
0.0000 5.7884 5.7884
5.7884 0.0000 5.7884
5.7884 5.7884 0.0000
Ba Ca Hg Pb
2 1 6 1
Direct
0.2500 0.2500 0.2500
0.7500 0.7500 0.7500
0.0000 0.0000 0.0000
0.2495 0.2495 0.7505
0.2495 0.7505 0.2495
0.2495 0.7505 0.7505
0.7505 0.2495 0.2495
0.7505 0.2495 0.7505
0.7505 0.7505 0.2495
0.5000 0.5000 0.5000

=====

Li3ZrSc2Se6 (PBE, relaxed); DOS(E_F) = 4.01 states/eV per cell; total magnetic moment = 0.00 μB per cell; ΔE_f (raw) = -1.496 eV/atom
1.0
3.3219 -5.7528 0.0000
3.3219 5.7528 0.0000
-2.2161 0.0000 6.4758
Li Zr Sc Se
3 1 2 6
Direct
0.0000 0.0000 0.0000
0.3343 0.6657 0.0000
0.6657 0.3343 0.0000
0.5000 0.5000 0.5000
0.1668 0.8332 0.5000
0.8332 0.1668 0.5000
0.0839 0.4175 0.2530
0.2485 0.2485 0.7467
0.4175 0.0839 0.2530
0.5825 0.9161 0.7470
0.7515 0.7515 0.2533
0.9161 0.5825 0.7470

=====

TbCeY3Er (PBE, relaxed); DOS(E_F) = 22.29 states/eV per cell; total magnetic moment = 2.24 μB per cell; formation energy = 0.06 eV/atom
1.0
2.5153 -7.5396 0.0000
2.5153 7.5396 0.0000
0.0000 0.0000 10.0548
Tb Ce Y Er
2 2 6 2
Direct
0.0000 0.0000 0.0000
0.0000 0.0000 0.5000
0.4990 0.5010 0.7500
0.5010 0.4990 0.2500
0.1667 0.8333 0.7500
0.3358 0.6642 0.9995
0.3358 0.6642 0.5005
0.6642 0.3358 0.0005
0.6642 0.3358 0.4995
0.8333 0.1667 0.2500
0.1661 0.8339 0.2500
0.8339 0.1661 0.7500

=====

MnIrOs2 (PBE, relaxed); DOS(E_F) = 3.58 states/eV per cell; energy above the lowest structure with this stoichiometry = 54 meV/atom; total magnetic moment = 1.17 μB per cell; formation energy = 0.05 eV/atom
1.0
2.6883 0.0000 0.0000
0.0000 3.7886 0.0000
0.0000 0.0000 5.3845
Mn Ir Os
1 1 2
Direct
0.0000 0.0000 0.0000
0.0000 0.0000 0.5000
0.5000 0.5000 0.2361
0.5000 0.5000 0.7639

=====

CaYMgAl (PBE, relaxed); DOS(E_F) = 2.98 states/eV per cell; energy above the lowest structure with this stoichiometry = 5 meV/atom; total magnetic moment = 0.00 μB per cell; formation energy = -0.21 eV/atom
1.0
3.6502 0.0000 0.0000
0.0000 3.6502 0.0000
0.0000 0.0000 8.0222
Ca Y Mg Al
1 1 1 1
Direct
0.0000 0.0000 0.0000
0.0000 0.0000 0.4614
0.5000 0.5000 0.7241
0.5000 0.5000 0.2406